1.
VASP calculation (PBE) on a relaxed structure of Cs5AuBr8.

Values from the calculation:
formation energy (no corrections)	-1.2895	eV per atom

Cell: 10.585 10.585 11.846 Å, 90.00 90.00 90.00°
Space group I-4 (No. 82)
Asymmetric unit:
Cs 0.000 0.000 0.000 [2 per cell]
Cs 0.135 0.712 0.603 [8 per cell]
Au 0.000 0.500 0.250 [2 per cell]
Br 0.033 0.732 0.263 [8 per cell]
Br 0.116 0.696 0.906 [8 per cell]

***

2.
VASP calculation (PBE) on a relaxed structure of BaBSe2Br.

Values from the calculation:
formation energy (no corrections)	-0.4969	eV per atom

Cell: 4.636 4.636 5.620 Å, 90.00 90.00 90.00°
Space group P4/mmm (No. 123)
Asymmetric unit:
Ba 0.000 0.000 0.000 [1 per cell]
B 0.500 0.500 0.500 [1 per cell]
Se 0.000 0.500 0.500 [2 per cell]
Br 0.500 0.500 0.000 [1 per cell]

***

3.
VASP calculation (PBE) on a relaxed structure of Er5Tl2AgIr2.

Values from the calculation:
energy	-106.7	eV per cell

Cell: 11.775 11.775 3.614 Å, 90.00 90.00 90.00°
Space group P4/mbm (No. 127)
Asymmetric unit:
Er 0.000 0.500 0.000 [2 per cell]
Er 0.077 0.203 0.000 [8 per cell]
Tl 0.172 0.672 0.500 [4 per cell]
Ag 0.000 0.000 0.500 [2 per cell]
Ir 0.133 0.367 0.500 [4 per cell]